*A*
{"formula": "Nd4Tm2Th", "functional": "GGA-PBE", "state": "optimized geometry", "volume_a3_per_cell": 478.55, "m_tot_mub_per_fu": 0.00, "lattice": [[-3.409, 5.797, 6.054], [3.409, -5.797, 6.054], [3.409, 5.797, -6.054]], "species": ["Nd", "Nd", "Nd", "Nd", "Nd", "Nd", "Nd", "Nd", "Tm", "Tm", "Tm", "Tm", "Th", "Th"], "fractional_positions": [[0.159, 0.157, 0.002], [0.237, 0.211, 0.474], [0.237, 0.764, 0.026], [0.346, 0.843, 0.502], [0.654, 0.157, 0.498], [0.763, 0.236, 0.974], [0.763, 0.789, 0.526], [0.841, 0.843, 0.998], [0.000, 0.500, 0.500], [0.029, 0.279, 0.750], [0.500, 0.500, 0.000], [0.971, 0.721, 0.250], [0.500, 0.000, 0.000], [0.500, 0.500, 0.500]]}

---

*B*
{"formula": "Nd4Tm2Th", "functional": "GGA-PBE", "state": "optimized geometry", "volume_a3_per_cell": 240.84, "m_tot_mub_per_fu": 0.00, "lattice": [[3.616, 0.000, 0.000], [0.000, 8.123, 0.000], [0.000, 0.000, 8.199]], "species": ["Nd", "Nd", "Nd", "Nd", "Tm", "Tm", "Th"], "fractional_positions": [[0.000, 0.223, 0.223], [0.000, 0.223, 0.777], [0.000, 0.777, 0.223], [0.000, 0.777, 0.777], [0.500, 0.000, 0.500], [0.500, 0.500, 0.000], [0.500, 0.500, 0.500]]}

---

*B* takes first place; second place is 117 meV/atom up.

---

*A*
{"formula": "NdTm3Th2", "functional": "GGA-PBE", "state": "optimized geometry", "volume_a3_per_cell": 387.96, "m_tot_mub_per_fu": 0.00, "lattice": [[11.695, -1.722, 0.000], [11.695, 1.722, 0.000], [-3.174, 0.000, 9.634]], "species": ["Nd", "Nd", "Tm", "Tm", "Tm", "Tm", "Tm", "Tm", "Th", "Th", "Th", "Th"], "fractional_positions": [[0.186, 0.186, 0.037], [0.814, 0.814, 0.963], [0.058, 0.058, 0.444], [0.193, 0.193, 0.709], [0.434, 0.434, 0.232], [0.566, 0.566, 0.768], [0.807, 0.807, 0.291], [0.942, 0.942, 0.556], [0.191, 0.191, 0.377], [0.430, 0.430, 0.861], [0.570, 0.570, 0.139], [0.809, 0.809, 0.623]]}

---

*B*
{"formula": "NdTm3Th2", "functional": "GGA-PBE", "state": "optimized geometry", "volume_a3_per_cell": 381.45, "m_tot_mub_per_fu": 0.00, "lattice": [[1.794, -9.226, 0.000], [1.794, 9.226, 0.000], [0.000, 0.000, 11.524]], "species": ["Nd", "Nd", "Tm", "Tm", "Tm", "Tm", "Tm", "Tm", "Th", "Th", "Th", "Th"], "fractional_positions": [[0.220, 0.780, 0.750], [0.780, 0.220, 0.250], [0.107, 0.893, 0.250], [0.336, 0.664, 0.506], [0.336, 0.664, 0.994], [0.664, 0.336, 0.006], [0.664, 0.336, 0.494], [0.893, 0.107, 0.750], [0.000, 0.000, 0.000], [0.000, 0.000, 0.500], [0.445, 0.555, 0.250], [0.555, 0.445, 0.750]]}

---

*B* takes first place; second place is 132 meV/atom up.